No. 1
DFT (PBE) results for crystalline Mo2AuBr at its relaxed geometry.

Cell and atoms, written as CIF:
```
data_Mo2AuBr
_chemical_formula_sum 'Mo2 Au1 Br1'
_symmetry_space_group_name_H-M 'P 1'
_symmetry_Int_Tables_number 1
_cell_length_a 4.770
_cell_length_b 4.770
_cell_length_c 2.966
_cell_angle_alpha 90.00
_cell_angle_beta 90.00
_cell_angle_gamma 90.03
loop_
_symmetry_equiv_pos_as_xyz
'x,y,z'
loop_
_atom_site_label
_atom_site_fract_x
_atom_site_fract_y
_atom_site_fract_z
Mo1 0.000 0.000 0.000
Mo2 0.500 0.500 0.000
Au1 0.500 0.000 0.500
Br1 0.000 0.500 0.500
```

Output
Energy (eV for the cell shown): -23.3
SG: No. 123
N(E_F) (states/eV/atom): 1.15
Size of the total moment (μB/f.u.): 0.0


No. 2
DFT (PBE) results for crystalline MoAuBr at its relaxed geometry.

Cell and atoms, written as CIF:
```
data_MoAuBr
_chemical_formula_sum 'Mo1 Au1 Br1'
_symmetry_space_group_name_H-M 'P 1'
_symmetry_Int_Tables_number 1
_cell_length_a 4.454
_cell_length_b 4.454
_cell_length_c 4.454
_cell_angle_alpha 60.00
_cell_angle_beta 60.00
_cell_angle_gamma 60.00
loop_
_symmetry_equiv_pos_as_xyz
'x,y,z'
loop_
_atom_site_label
_atom_site_fract_x
_atom_site_fract_y
_atom_site_fract_z
Mo1 0.750 0.750 0.750
Au1 0.000 0.000 0.000
Br1 0.500 0.500 0.500
```

Output
Energy (eV for the cell shown): -13.5
SG: No. 216
N(E_F) (states/eV/atom): 0.39
Size of the total moment (μB/f.u.): 0.0


No. 3
DFT (PBE) results for crystalline Mo4AuBr at its relaxed geometry.

Cell and atoms, written as CIF:
```
data_Mo4AuBr
_chemical_formula_sum 'Mo4 Au1 Br1'
_symmetry_space_group_name_H-M 'P 1'
_symmetry_Int_Tables_number 1
_cell_length_a 5.322
_cell_length_b 5.322
_cell_length_c 5.322
_cell_angle_alpha 60.00
_cell_angle_beta 60.00
_cell_angle_gamma 60.00
loop_
_symmetry_equiv_pos_as_xyz
'x,y,z'
loop_
_atom_site_label
_atom_site_fract_x
_atom_site_fract_y
_atom_site_fract_z
Mo1 0.625 0.625 0.126
Mo2 0.625 0.126 0.625
Mo3 0.625 0.625 0.625
Mo4 0.126 0.625 0.625
Au1 0.250 0.250 0.250
Br1 0.000 0.000 0.000
```

Output
Energy (eV for the cell shown): -43.2
SG: No. 216
N(E_F) (states/eV/atom): 0.92
Size of the total moment (μB/f.u.): 0.0